Record 1
# La3Tb6PrNd2, optimized geometry, DFT PBE
# Formation energy from the elements in eV/atom: 0.011
# D(E_F) in states/eV/cell: 15.0
data_La3Tb6PrNd2
_cell_length_a 6.3320
_cell_length_b 6.3320
_cell_length_c 11.9356
_cell_angle_alpha 95.07
_cell_angle_beta 95.07
_cell_angle_gamma 120.04
_symmetry_space_group_name_H-M 'P 1'
_symmetry_Int_Tables_number 1
_symmetry_space_group_name_Hall 'P 1'
loop_
_atom_site_label
_atom_site_fract_x
_atom_site_fract_y
_atom_site_fract_z
La1 0.1667 0.8333 0.5000
La2 0.8333 0.1667 0.5000
La3 0.5000 0.5000 0.5000
Tb1 0.9174 0.5839 0.7516
Tb2 0.7490 0.7490 0.2484
Tb3 0.0826 0.4161 0.2484
Tb4 0.5839 0.9174 0.7516
Tb5 0.2510 0.2510 0.7516
Tb6 0.4161 0.0826 0.2484
Pr1 0.0000 0.0000 0.0000
Nd1 0.3333 0.6667 0.0000
Nd2 0.6667 0.3333 0.0000

***

Record 2
# CdBTeO5, optimized geometry, DFT PBE
# E in hartree per atom: -0.212
# D(E_F) in states/eV/cell: 1.5
data_CdBTeO5
_cell_length_a 5.3885
_cell_length_b 5.3885
_cell_length_c 7.4435
_cell_angle_alpha 105.56
_cell_angle_beta 105.56
_cell_angle_gamma 103.55
_symmetry_space_group_name_H-M 'P 1'
_symmetry_Int_Tables_number 1
_symmetry_space_group_name_Hall 'P 1'
loop_
_atom_site_label
_atom_site_fract_x
_atom_site_fract_y
_atom_site_fract_z
Cd1 0.3455 0.6545 0.2500
Cd2 0.6545 0.3455 0.7500
B1 0.6848 0.3152 0.2500
B2 0.3152 0.6848 0.7500
Te1 0.0000 0.0000 0.5000
Te2 0.0000 0.0000 0.0000
O1 0.0877 0.9123 0.2500
O2 0.9123 0.0877 0.7500
O3 0.8868 0.3242 0.1439
O4 0.1132 0.6758 0.8561
O5 0.6758 0.1132 0.3561
O6 0.3242 0.8868 0.6439
O7 0.7396 0.5953 0.4015
O8 0.2604 0.4047 0.5985
O9 0.4047 0.2604 0.0985
O10 0.5953 0.7396 0.9015

***

Record 3
# CeErCdIn, optimized geometry, DFT PBE
# Formation energy from the elements in eV/atom: -0.309
# D(E_F) in states/eV/cell: 10.1
data_CeErCdIn
_cell_length_a 5.3583
_cell_length_b 5.3583
_cell_length_c 5.3583
_cell_angle_alpha 60.00
_cell_angle_beta 60.00
_cell_angle_gamma 60.00
_symmetry_space_group_name_H-M 'P 1'
_symmetry_Int_Tables_number 1
_symmetry_space_group_name_Hall 'P 1'
loop_
_atom_site_label
_atom_site_fract_x
_atom_site_fract_y
_atom_site_fract_z
Cd1 0.2500 0.2500 0.2500
In1 0.7500 0.7500 0.7500
Ce1 0.0000 0.0000 0.0000
Er1 0.5000 0.5000 0.5000

***

Record 4
# KNa3Hg3, optimized geometry, DFT PBE
# Formation energy from the elements in eV/atom: -0.165
# Relative energy among the computed polymorphs in kJ/mol of formula units: 29
# D(E_F) in states/eV/cell: 6.1
data_KNa3Hg3
_cell_length_a 8.4479
_cell_length_b 8.4479
_cell_length_c 8.5998
_cell_angle_alpha 60.58
_cell_angle_beta 60.58
_cell_angle_gamma 60.00
_symmetry_space_group_name_H-M 'P 1'
_symmetry_Int_Tables_number 1
_symmetry_space_group_name_Hall 'P 1'
loop_
_atom_site_label
_atom_site_fract_x
_atom_site_fract_y
_atom_site_fract_z
K1 0.3502 0.3502 0.9494
K2 0.6498 0.6498 0.0506
Na1 0.5588 0.7401 0.6255
Na2 0.7401 0.0755 0.6255
Na3 0.0755 0.5588 0.6255
Na4 0.9245 0.4412 0.3745
Na5 0.2599 0.9245 0.3745
Na6 0.4412 0.2599 0.3745
Hg1 0.1684 0.7158 0.1798
Hg2 0.9361 0.1684 0.1798
Hg3 0.7158 0.9361 0.1798
Hg4 0.2842 0.0639 0.8202
Hg5 0.0639 0.8316 0.8202
Hg6 0.8316 0.2842 0.8202

***

Record 5
# TiV2As3, optimized geometry, DFT PBE
# Formation energy from the elements in eV/atom: -0.577
# D(E_F) in states/eV/cell: 11.1
data_TiV2As3
_cell_length_a 3.3894
_cell_length_b 5.9041
_cell_length_c 9.6237
_cell_angle_alpha 90.00
_cell_angle_beta 90.00
_cell_angle_gamma 90.00
_symmetry_space_group_name_H-M 'P 1'
_symmetry_Int_Tables_number 1
_symmetry_space_group_name_Hall 'P 1'
loop_
_atom_site_label
_atom_site_fract_x
_atom_site_fract_y
_atom_site_fract_z
Ti1 0.0000 0.0073 0.8899
Ti2 0.0000 0.5073 0.1101
V1 0.0000 0.0000 0.2262
V2 0.5000 0.0101 0.4603
V3 0.0000 0.5001 0.7738
V4 0.5000 0.5101 0.5397
As1 0.5000 0.1726 0.0680
As2 0.5000 0.2004 0.7134
As3 0.0000 0.3109 0.3866
As4 0.5000 0.6726 0.9320
As5 0.5000 0.7004 0.2866
As6 0.0000 0.8108 0.6134

***

Record 6
# LiCaSmSi, optimized geometry, DFT PBE
# E in hartree per atom: -0.140
# D(E_F) in states/eV/cell: 2.8
data_LiCaSmSi
_cell_length_a 5.1059
_cell_length_b 5.1059
_cell_length_c 5.1059
_cell_angle_alpha 60.00
_cell_angle_beta 60.00
_cell_angle_gamma 60.00
_symmetry_space_group_name_H-M 'P 1'
_symmetry_Int_Tables_number 1
_symmetry_space_group_name_Hall 'P 1'
loop_
_atom_site_label
_atom_site_fract_x
_atom_site_fract_y
_atom_site_fract_z
Ca1 0.5000 0.5000 0.5000
Si1 0.7500 0.7500 0.7500
Sm1 0.0000 0.0000 0.0000
Li1 0.2500 0.2500 0.2500